No. 1
Computed, not measured: Hf12Pd3Rh5 after structural relaxation at the PBE level of DFT.

Cell and atoms, written as CIF:
```
data_Hf12Pd3Rh5
_space_group_name_H-M_alt 'P 1'
_space_group_IT_number 1
_space_group_name_Hall 'P 1'
_cell_length_a 13.4457
_cell_length_b 13.4457
_cell_length_c 13.4457
_cell_angle_alpha 109.47
_cell_angle_beta 109.47
_cell_angle_gamma 109.47
loop_
_atom_site_label
_atom_site_fract_x
_atom_site_fract_y
_atom_site_fract_z
_atom_site_occupancy
Hf1 0.8307 0.9166 0.0503 1
Rh1 0.0000 0.0000 0.5000 1
Hf2 0.5503 0.3307 0.9166 1
Pd1 0.6250 0.2500 0.3750 1
Rh2 0.2500 0.8750 0.1250 1
Pd2 0.1250 0.8750 0.7500 1
Pd3 0.1250 0.2500 0.8750 1
Pd4 0.6250 0.3750 0.7500 1
Hf3 0.4497 0.7804 0.8663 1
Hf4 0.0834 0.9141 0.1337 1
Hf5 0.9166 0.0859 0.8663 1
Hf6 0.3663 0.9497 0.7804 1
Hf7 0.4166 0.3663 0.5859 1
Pd5 0.7500 0.8750 0.6250 1
Hf8 0.7804 0.3307 0.9141 1
Rh3 0.3750 0.2500 0.1250 1
Rh4 0.6250 0.8750 0.2500 1
Rh5 0.6250 0.7500 0.8750 1
Pd6 0.2500 0.6250 0.8750 1
Hf9 0.6693 0.4497 0.5834 1
Rh6 0.0000 0.0000 0.0000 1
Hf10 0.3663 0.4166 0.0859 1
Hf11 0.9141 0.0834 0.6337 1
Hf12 0.5503 0.2196 0.1337 1
Hf13 0.9166 0.8307 0.5503 1
Pd7 0.7500 0.3750 0.1250 1
Hf14 0.3307 0.7804 0.4141 1
Hf15 0.0859 0.9166 0.3663 1
Hf16 0.5859 0.7196 0.6693 1
Hf17 0.4141 0.1337 0.5834 1
Hf18 0.1337 0.4141 0.0834 1
Hf19 0.2804 0.8663 0.9497 1
Rh7 0.2500 0.3750 0.6250 1
Hf20 0.5834 0.6337 0.4141 1
Rh8 0.7500 0.1250 0.8750 1
Hf21 0.9141 0.8307 0.7804 1
Hf22 0.0859 0.1693 0.2196 1
Rh9 0.5000 0.0000 0.0000 1
Hf23 0.4497 0.6693 0.0834 1
Rh10 0.5000 0.5000 0.5000 1
Rh11 0.3750 0.1250 0.7500 1
Hf24 0.6693 0.2196 0.5859 1
Pd8 0.8750 0.1250 0.2500 1
Hf25 0.6337 0.0503 0.2196 1
Hf26 0.4166 0.0503 0.3307 1
Hf27 0.0503 0.4166 0.8307 1
Hf28 0.0503 0.6337 0.7196 1
Pd9 0.8750 0.7500 0.1250 1
Hf29 0.7196 0.1337 0.0503 1
Rh12 0.7500 0.6250 0.3750 1
Hf30 0.8663 0.5859 0.9166 1
Pd10 0.2500 0.1250 0.3750 1
Hf31 0.5859 0.8663 0.4166 1
Rh13 0.1250 0.7500 0.3750 1
Hf32 0.6337 0.5834 0.9141 1
Hf33 0.8307 0.9141 0.2804 1
Hf34 0.5834 0.9497 0.6693 1
Rh14 0.1250 0.3750 0.2500 1
Rh15 0.0000 0.5000 0.5000 1
Hf35 0.9497 0.3663 0.2804 1
Hf36 0.7196 0.5859 0.1693 1
Rh16 0.5000 0.0000 0.5000 1
Hf37 0.1693 0.0834 0.9497 1
Hf38 0.0834 0.1693 0.4497 1
Hf39 0.8663 0.2804 0.4497 1
Rh17 0.5000 0.5000 0.0000 1
Rh18 0.8750 0.2500 0.6250 1
Hf40 0.9497 0.5834 0.1693 1
Hf41 0.2196 0.5503 0.6337 1
Hf42 0.4141 0.2804 0.3307 1
Pd11 0.3750 0.7500 0.6250 1
Rh19 0.8750 0.6250 0.7500 1
Hf43 0.2804 0.4141 0.8307 1
Hf44 0.1693 0.0859 0.7196 1
Hf45 0.1337 0.7196 0.5503 1
Pd12 0.3750 0.6250 0.2500 1
Rh20 0.0000 0.5000 0.0000 1
Hf46 0.2196 0.6693 0.0859 1
Hf47 0.3307 0.5503 0.4166 1
Hf48 0.7804 0.4497 0.3663 1
```


No. 2
Computed, not measured: HfPdRh3 after structural relaxation at the PBE level of DFT.

Cell and atoms, written as CIF:
```
data_HfPdRh3
_space_group_name_H-M_alt 'P 1'
_space_group_IT_number 1
_space_group_name_Hall 'P 1'
_cell_length_a 4.6727
_cell_length_b 4.6727
_cell_length_c 4.6727
_cell_angle_alpha 90.00
_cell_angle_beta 90.00
_cell_angle_gamma 90.00
loop_
_atom_site_label
_atom_site_fract_x
_atom_site_fract_y
_atom_site_fract_z
_atom_site_occupancy
Rh1 0.5000 0.0000 0.0000 1
Rh2 0.0000 0.5000 0.0000 1
Pd1 0.0000 0.0000 0.0000 1
Rh3 0.0000 0.0000 0.5000 1
Hf1 0.5000 0.5000 0.5000 1
```


No. 3
Computed, not measured: HfPdRh2 after structural relaxation at the PBE level of DFT.

Cell and atoms, written as CIF:
```
data_HfPdRh2
_space_group_name_H-M_alt 'P 1'
_space_group_IT_number 1
_space_group_name_Hall 'P 1'
_cell_length_a 3.8759
_cell_length_b 3.8759
_cell_length_c 9.5672
_cell_angle_alpha 78.31
_cell_angle_beta 78.31
_cell_angle_gamma 90.00
loop_
_atom_site_label
_atom_site_fract_x
_atom_site_fract_y
_atom_site_fract_z
_atom_site_occupancy
Pd1 0.2500 0.7500 0.5000 1
Rh1 0.1366 0.6250 0.2500 1
Hf1 0.0000 0.0000 0.0000 1
Rh2 0.6134 0.1250 0.2500 1
Rh3 0.3750 0.3866 0.7500 1
Rh4 0.8750 0.8634 0.7500 1
Pd2 0.5000 0.5000 0.0000 1
Hf2 0.7500 0.2500 0.5000 1
```


No. 4
Computed, not measured: Hf6PdRh5 after structural relaxation at the PBE level of DFT.

Cell and atoms, written as CIF:
```
data_Hf6PdRh5
_space_group_name_H-M_alt 'P 1'
_space_group_IT_number 1
_space_group_name_Hall 'P 1'
_cell_length_a 4.6592
_cell_length_b 6.5066
_cell_length_c 8.0153
_cell_angle_alpha 113.94
_cell_angle_beta 106.24
_cell_angle_gamma 90.00
loop_
_atom_site_label
_atom_site_fract_x
_atom_site_fract_y
_atom_site_fract_z
_atom_site_occupancy
Pd1 0.0000 0.0000 0.0000 1
Rh1 0.6690 0.6647 0.3295 1
Hf1 0.1686 0.9174 0.3359 1
Rh2 0.3310 0.3353 0.6705 1
Hf2 0.4999 0.7483 0.0000 1
Hf3 0.8312 0.5815 0.6641 1
Rh3 0.6690 0.1702 0.3402 1
Hf4 0.1688 0.4185 0.3359 1
Hf5 0.5001 0.2517 0.0000 1
Hf6 0.8314 0.0826 0.6641 1
Rh4 0.0000 0.5000 0.0000 1
Rh5 0.3310 0.8298 0.6598 1
```


No. 5
Computed, not measured: Hf3PdRh after structural relaxation at the PBE level of DFT.

Cell and atoms, written as CIF:
```
data_Hf3PdRh
_space_group_name_H-M_alt 'P 1'
_space_group_IT_number 1
_space_group_name_Hall 'P 1'
_cell_length_a 4.9225
_cell_length_b 4.9225
_cell_length_c 4.9225
_cell_angle_alpha 90.00
_cell_angle_beta 90.00
_cell_angle_gamma 90.00
loop_
_atom_site_label
_atom_site_fract_x
_atom_site_fract_y
_atom_site_fract_z
_atom_site_occupancy
Hf1 0.5000 0.0000 0.0000 1
Pd1 0.5000 0.5000 0.5000 1
Rh1 0.0000 0.0000 0.0000 1
Hf2 0.0000 0.0000 0.5000 1
Hf3 0.0000 0.5000 0.0000 1
```


No. 6
Computed, not measured: Hf3PdRh after structural relaxation at the PBE level of DFT.

Cell and atoms, written as CIF:
```
data_Hf3PdRh
_space_group_name_H-M_alt 'P 1'
_space_group_IT_number 1
_space_group_name_Hall 'P 1'
_cell_length_a 6.2358
_cell_length_b 6.2358
_cell_length_c 15.1891
_cell_angle_alpha 77.65
_cell_angle_beta 77.65
_cell_angle_gamma 42.77
loop_
_atom_site_label
_atom_site_fract_x
_atom_site_fract_y
_atom_site_fract_z
_atom_site_occupancy
Hf1 0.4139 0.9139 0.2470 1
Hf2 0.8442 0.3442 0.4084 1
Rh1 0.0000 0.5000 0.5000 1
Hf3 0.9425 0.4425 0.1032 1
Pd1 0.7206 0.2206 0.8888 1
Pd2 0.7794 0.2794 0.6112 1
Hf4 0.0575 0.5575 0.8968 1
Hf5 0.3442 0.8442 0.9084 1
Hf6 0.6558 0.1558 0.0916 1
Hf7 0.0861 0.5861 0.2530 1
Hf8 0.1558 0.6558 0.5916 1
Hf9 0.9139 0.4139 0.7470 1
Rh2 0.7500 0.2500 0.2500 1
Hf10 0.4425 0.9425 0.6032 1
Hf11 0.5575 0.0575 0.3968 1
Pd3 0.2206 0.7206 0.3888 1
Rh3 0.2500 0.7500 0.7500 1
Rh4 0.5000 0.0000 0.0000 1
Hf12 0.5861 0.0861 0.7530 1
Pd4 0.2794 0.7794 0.1112 1
```


No. 7
Computed, not measured: HfPdRh3 after structural relaxation at the PBE level of DFT.

Cell and atoms, written as CIF:
```
data_HfPdRh3
_space_group_name_H-M_alt 'P 1'
_space_group_IT_number 1
_space_group_name_Hall 'P 1'
_cell_length_a 4.7160
_cell_length_b 4.7160
_cell_length_c 4.7160
_cell_angle_alpha 90.00
_cell_angle_beta 90.00
_cell_angle_gamma 90.00
loop_
_atom_site_label
_atom_site_fract_x
_atom_site_fract_y
_atom_site_fract_z
_atom_site_occupancy
Rh1 0.5000 0.0000 0.0000 1
Hf1 0.0000 0.0000 0.0000 1
Pd1 0.5000 0.5000 0.5000 1
Rh2 0.0000 0.0000 0.5000 1
Rh3 0.0000 0.5000 0.0000 1
```


No. 8
Computed, not measured: Hf2Pd2Rh after structural relaxation at the PBE level of DFT.

Cell and atoms, written as CIF:
```
data_Hf2Pd2Rh
_space_group_name_H-M_alt 'P 1'
_space_group_IT_number 1
_space_group_name_Hall 'P 1'
_cell_length_a 5.3854
_cell_length_b 6.0333
_cell_length_c 7.0138
_cell_angle_alpha 115.47
_cell_angle_beta 112.58
_cell_angle_gamma 90.00
loop_
_atom_site_label
_atom_site_fract_x
_atom_site_fract_y
_atom_site_fract_z
_atom_site_occupancy
Hf1 0.8361 0.1278 0.6721 1
Pd1 0.8934 0.7469 0.7869 1
Hf2 0.1639 0.8722 0.3279 1
Hf3 0.6639 0.4556 0.3279 1
Pd2 0.1066 0.2531 0.2131 1
Pd3 0.6066 0.9600 0.2131 1
Pd4 0.3934 0.0400 0.7869 1
Hf4 0.3361 0.5444 0.6721 1
Rh1 0.7500 0.5000 0.0000 1
Rh2 0.2500 0.5000 0.0000 1
```


No. 9
Computed, not measured: HfPd2Rh after structural relaxation at the PBE level of DFT.

Cell and atoms, written as CIF:
```
data_HfPd2Rh
_space_group_name_H-M_alt 'P 1'
_space_group_IT_number 1
_space_group_name_Hall 'P 1'
_cell_length_a 3.8260
_cell_length_b 3.8260
_cell_length_c 9.8444
_cell_angle_alpha 78.79
_cell_angle_beta 78.79
_cell_angle_gamma 90.00
loop_
_atom_site_label
_atom_site_fract_x
_atom_site_fract_y
_atom_site_fract_z
_atom_site_occupancy
Pd1 0.1292 0.6250 0.2500 1
Hf1 0.0000 0.0000 0.0000 1
Pd2 0.6208 0.1250 0.2500 1
Pd3 0.3750 0.3792 0.7500 1
Rh1 0.5000 0.5000 0.0000 1
Hf2 0.7500 0.2500 0.5000 1
Rh2 0.2500 0.7500 0.5000 1
Pd4 0.8750 0.8708 0.7500 1
```


| no. | uncorrected energy (eV per atom) | formation energy from the elements (meV/atom) | DOS(E_F) (states/eV/f.u.) |
| --- | --- | --- | --- |
| 1 | -8.583 | 6 | 18.1 |
| 2 | -6.334 | 1106 | 8.9 |
| 3 | -7.685 | -222 | 3.6 |
| 4 | -9.298 | -826 | 9.3 |
| 5 | -8.202 | 279 | 7.2 |
| 6 | -9.018 | -537 | 4.2 |
| 7 | -6.485 | 955 | 9.3 |
| 8 | -8.110 | -581 | 3.4 |
| 9 | -7.302 | -379 | 3.0 |